A:
# PBE Ba2HgCl, optimized geometry
data_Ba2HgCl
_chemical_formula_sum 'Ba2 Hg1 Cl1'
_space_group_name_H-M_alt 'P 1'
_space_group_IT_number 1
_space_group_name_Hall 'P 1'
_cell_length_a 8.521
_cell_length_b 8.521
_cell_length_c 4.546
_cell_angle_alpha 89.91
_cell_angle_beta 89.90
_cell_angle_gamma 29.76
loop_
_atom_site_label
_atom_site_type_symbol
_atom_site_fract_x
_atom_site_fract_y
_atom_site_fract_z
_atom_site_occupancy
Ba1 Ba 0.713 0.713 0.624 1
Ba2 Ba 0.969 0.969 0.126 1
Cl1 Cl 0.521 0.521 0.625 1
Hg1 Hg 0.298 0.298 0.124 1
# Fermi-level density of states: 4.00 states/eV/cell

---

B:
# PBE Ba2HgCl, optimized geometry
data_Ba2HgCl
_chemical_formula_sum 'Ba2 Hg1 Cl1'
_space_group_name_H-M_alt 'P 1'
_space_group_IT_number 1
_space_group_name_Hall 'P 1'
_cell_length_a 5.931
_cell_length_b 5.931
_cell_length_c 5.931
_cell_angle_alpha 60.00
_cell_angle_beta 60.00
_cell_angle_gamma 60.00
loop_
_atom_site_label
_atom_site_type_symbol
_atom_site_fract_x
_atom_site_fract_y
_atom_site_fract_z
_atom_site_occupancy
Ba1 Ba 0.250 0.250 0.250 1
Cl1 Cl 0.000 0.000 0.000 1
Ba2 Ba 0.750 0.750 0.750 1
Hg1 Hg 0.500 0.500 0.500 1
# Fermi-level density of states: 4.09 states/eV/cell

---

If you had to name the least stable structure above, which would it be? It would be B.